Entry 1:
! Li4SbTe3O12 PBE optimized geometry; values from VASP
! offset from the most stable computed form = 0.00 eV/f.u.
! E_form (uncorrected) = -1398 meV/atom
! N(E_F) = 3.8 states/eV/f.u.
&SYSTEM
  ibrav = 0, nat = 20, ntyp = 4
/
ATOMIC_SPECIES
Sb 121.76 Sb.upf
O 16.00 O.upf
Li 6.94 Li.upf
Te 127.60 Te.upf
CELL_PARAMETERS angstrom
9.185 0.000 0.000
0.000 5.148 0.031
0.000 0.418 5.201
ATOMIC_POSITIONS angstrom
Sb 8.230 0.000 0.000
O 5.129 3.932 3.416
O 6.911 1.556 4.261
O 6.911 4.010 0.971
O 4.021 1.842 4.437
O 4.021 3.723 0.795
O 5.129 1.634 1.817
O 2.052 4.354 3.639
O 0.528 1.443 4.136
O 8.469 4.376 3.608
O 8.469 1.189 1.624
O 2.052 1.212 1.593
O 0.528 4.122 1.096
Li 6.215 0.209 2.601
Li 1.309 2.574 0.016
Li 2.906 0.000 0.000
Li 7.746 2.783 2.616
Te 5.464 2.574 0.016
Te 3.678 2.783 2.616
Te 0.782 0.209 2.601

=====

Entry 2:
! LiSbTe3O12 PBE optimized geometry; values from VASP
! offset from the most stable computed form = 0.00 eV/f.u.
! E_form (uncorrected) = -1074 meV/atom
&SYSTEM
  ibrav = 0, nat = 17, ntyp = 4
/
ATOMIC_SPECIES
O 16.00 O.upf
Sb 121.76 Sb.upf
Te 127.60 Te.upf
Li 6.94 Li.upf
CELL_PARAMETERS angstrom
8.505 0.000 0.000
0.000 4.934 -0.009
0.000 0.034 5.254
ATOMIC_POSITIONS angstrom
O 6.310 1.320 4.498
O 6.310 3.647 0.747
O 7.844 1.080 1.691
O 7.844 3.888 3.554
O 0.594 1.068 4.231
O 4.876 3.498 3.556
O 0.594 3.900 1.014
O 2.114 1.227 1.889
O 3.555 3.503 0.957
O 3.555 1.464 4.288
O 2.114 3.741 3.356
O 4.876 1.469 1.689
Sb 7.674 0.000 0.000
Te 0.736 0.017 2.627
Te 4.965 2.467 -0.005
Te 3.383 2.484 2.622
Li 6.762 2.484 2.622

=====

Entry 3:
! Li4SbTe3O12 PBE optimized geometry; values from VASP
! offset from the most stable computed form = 0.46 eV/f.u.
! E_form (uncorrected) = -1375 meV/atom
! N(E_F) = 2.3 states/eV/f.u.
&SYSTEM
  ibrav = 0, nat = 20, ntyp = 4
/
ATOMIC_SPECIES
O 16.00 O.upf
Te 127.60 Te.upf
Li 6.94 Li.upf
Sb 121.76 Sb.upf
CELL_PARAMETERS angstrom
5.279 0.003 0.000
0.001 5.615 -0.025
0.000 -0.632 7.695
ATOMIC_POSITIONS angstrom
O 0.722 -0.367 5.703
O 4.476 1.451 4.277
O 1.966 2.411 5.794
O 4.274 3.356 7.068
O 3.297 2.779 1.886
O 4.556 0.001 1.962
O 1.568 0.739 3.235
O 0.886 1.773 0.406
O 3.706 0.490 7.103
O 1.713 4.653 0.391
O 0.908 3.710 3.212
O 3.606 4.429 4.260
Te 2.631 2.420 3.879
Te 2.646 2.778 0.011
Te 5.272 5.295 3.832
Li 5.236 2.226 2.170
Li 0.021 1.860 6.109
Li 2.631 4.960 2.190
Li 2.671 4.703 6.054
Sb 0.002 5.590 -0.001

=====

Entry 4:
! LiSbTe2O PBE optimized geometry; values from VASP
! offset from the most stable computed form = 0.00 eV/f.u.
! E_form (uncorrected) = -140 meV/atom
! N(E_F) = 2.6 states/eV/f.u.
&SYSTEM
  ibrav = 0, nat = 5, ntyp = 4
/
ATOMIC_SPECIES
O 16.00 O.upf
Sb 121.76 Sb.upf
Li 6.94 Li.upf
Te 127.60 Te.upf
CELL_PARAMETERS angstrom
-1.237 -0.941 -4.705
-1.025 -4.695 1.209
-4.432 1.205 0.924
ATOMIC_POSITIONS angstrom
O 0.000 0.000 0.000
Sb -2.216 0.603 0.462
Li -3.347 -2.215 -1.286
Te -0.512 -2.347 0.604
Te -0.618 -0.471 -2.353

=====

Entry 5:
! Li2SbTeO6 PBE optimized geometry; values from VASP
! E_form (uncorrected) = -1426 meV/atom
! N(E_F) = 2.3 states/eV/f.u.
&SYSTEM
  ibrav = 0, nat = 20, ntyp = 4
/
ATOMIC_SPECIES
O 16.00 O.upf
Li 6.94 Li.upf
Te 127.60 Te.upf
Sb 121.76 Sb.upf
CELL_PARAMETERS angstrom
5.303 0.000 0.024
0.000 5.471 0.000
-0.028 0.000 7.692
ATOMIC_POSITIONS angstrom
O 0.939 4.448 4.347
O 1.670 1.712 7.202
O 3.605 3.759 0.513
O 4.336 1.024 3.368
O 0.650 3.024 1.935
O 4.345 1.011 0.499
O 3.596 3.747 3.382
O 0.931 4.461 7.216
O 1.987 0.289 1.923
O 4.625 2.447 5.780
O 3.288 5.183 5.792
O 1.679 1.725 4.333
Li 5.276 0.135 5.803
Li -0.001 5.337 1.912
Li 2.638 2.601 1.946
Li 2.637 2.871 5.769
Te 2.638 0.000 3.858
Te 0.000 2.736 0.000
Sb 2.652 0.000 0.012
Sb -0.014 2.736 3.846